Entry 1:
Computed, not measured: an optimized crystal structure of YCoAu2 at the PBE level of DFT.

POSCAR file:
```
YCoAu2
1.0
-1.3713 3.7795 0.8455
-2.9600 -1.6030 2.3555
2.6023 0.1849 3.3968
Au Co Y
2 1 1
direct
0.0000 0.0000 0.0000
0.5000 0.5000 0.0000
0.5000 0.0000 0.5000
0.0000 0.5000 0.5000
```

The total DFT energy (no corrections) is -5.34 eV/atom.

---

Entry 2:
Computed, not measured: an optimized crystal structure of Be2CoAg at the PBE level of DFT.

POSCAR file:
```
Be2CoAg
1.0
-2.5392 1.8777 -1.8689
-2.6266 -1.4460 2.1157
-1.8695 5.9892 4.9549
Be Co Ag
4 2 2
direct
0.5517 0.1250 0.2500
0.1983 0.6250 0.2500
0.3750 0.4483 0.7500
0.8750 0.8017 0.7500
0.5000 0.5000 0.0000
0.2500 0.7500 0.5000
0.0000 0.0000 0.0000
0.7500 0.2500 0.5000
```

The energy above the most stable polymorph in this dataset is 64.8 kJ/mol of atoms. The total DFT energy (no corrections) is -3.80 eV/atom.

---

Entry 3:
Computed, not measured: an optimized crystal structure of ZrNbIr at the PBE level of DFT.

POSCAR file:
```
ZrNbIr
1.0
-2.1415 2.4653 0.5660
-2.5106 -1.9812 -0.8695
1.8607 -1.7364 4.8999
Nb Ir Zr
1 1 1
direct
0.0108 0.0108 0.0216
0.6617 0.6617 0.3235
0.3274 0.3274 0.6549
```

The total DFT energy (no corrections) is -9.58 eV/atom.

---

Entry 4:
Computed, not measured: an optimized crystal structure of TaH2Pd2 at the PBE level of DFT.

POSCAR file:
```
TaH2Pd2
1.0
-2.1050 1.9941 0.3225
-1.5113 -1.8637 1.6595
1.1383 2.3302 6.2181
H Pd Ta
2 2 1
direct
0.7500 0.2500 0.5000
0.2500 0.7500 0.5000
0.3456 0.3456 0.3088
0.6544 0.6544 0.6912
0.0000 0.0000 0.0000
```

The energy above the most stable polymorph in this dataset is 0.0 kJ/mol of atoms. The total DFT energy (no corrections) is -5.87 eV/atom.

---

Entry 5:
Computed, not measured: an optimized crystal structure of PdRu2Rh at the PBE level of DFT.

POSCAR file:
```
PdRu2Rh
1.0
2.7130 0.0000 0.0000
1.3565 2.3495 0.0000
1.3565 0.7832 8.9711
Ru Rh Pd
2 1 1
direct
0.7482 0.7482 0.7553
0.2518 0.2518 0.2447
0.0000 0.0000 0.0000
0.5000 0.5000 0.5000
```

The energy above the most stable polymorph in this dataset is 0.0 kJ/mol of atoms. The total DFT energy (no corrections) is -7.64 eV/atom.

---

Entry 6:
Computed, not measured: an optimized crystal structure of Eu2HoPb at the PBE level of DFT.

POSCAR file:
```
Eu2HoPb
1.0
-0.6776 3.7269 -2.1143
0.0815 -2.1290 -3.7789
-6.9177 -1.0173 0.4238
Pb Eu Ho
1 2 1
direct
0.5000 0.5000 0.0000
0.0000 0.0000 0.7662
0.0000 0.0000 0.2338
0.5000 0.5000 0.5000
```

The energy above the most stable polymorph in this dataset is 10.8 kJ/mol of atoms. The total DFT energy (no corrections) is -7.38 eV/atom.

---

Entry 7:
Computed, not measured: an optimized crystal structure of Ba8Te3SeI4 at the PBE level of DFT.

POSCAR file:
```
Ba8Te3SeI4
1.0
-8.7930 -4.1956 1.6185
-0.0482 -3.5010 -9.3378
7.6156 -2.0407 5.9515
Ba Te Se I
8 3 1 4
direct
0.2348 0.7224 0.9877
0.2348 0.7225 0.4696
0.2563 0.2692 0.5126
0.7530 0.7224 0.9877
0.2470 0.2776 0.0123
0.7437 0.7308 0.4874
0.7652 0.2775 0.5304
0.7652 0.2776 0.0123
0.5000 0.5000 0.0000
0.5000 0.5000 0.5000
0.0000 0.5000 0.5000
0.0000 0.5000 0.0000
0.5000 0.0000 0.0000
0.5000 0.0000 0.5000
0.0000 0.0000 0.0000
0.0000 0.0000 0.5000
```

The formation energy without anion corrections is -25.73 eV per formula unit. The total DFT energy (no corrections) is -3.76 eV/atom.

---

Entry 8:
Computed, not measured: an optimized crystal structure of LiScSn2Pd at the PBE level of DFT.

POSCAR file:
```
LiScSn2Pd
1.0
5.2033 0.0000 0.0000
0.0000 5.0219 0.0000
0.0000 0.0000 5.2033
Sc Sn Pd Li
1 2 1 1
direct
0.0000 0.5000 0.0000
0.0000 0.0000 0.5000
0.5000 0.0000 0.0000
0.0000 0.0000 0.0000
0.5000 0.5000 0.5000
```

The total DFT energy (no corrections) is -4.32 eV/atom.